The following is a GGA-PBE calculation of an optimized crystal structure of HoFe2SiGe, from Alexandria via LeMat-Bulk. Values from VASP.

Output
Energy relative to the elements, uncorrected (kJ/mol of atoms): -55
Fermi-level density of states (states/eV/f.u.): 5.1
Mass density (kg/m3): 8169
Raw total energy (eV for the cell shown): -68.79
Crystal system: orthorhombic

Geometry as Quantum ESPRESSO input:
```
&SYSTEM
  ibrav = 0, nat = 10, ntyp = 4
/
ATOMIC_SPECIES
Ho 164.93 Ho.upf
Fe 55.84 Fe.upf
Si 28.09 Si.upf
Ge 72.64 Ge.upf
ATOMIC_POSITIONS angstrom
Ho 2.815 2.437 4.220
Ho 2.815 -2.437 1.407
Fe 1.398 0.000 0.000
Fe 1.398 0.000 2.813
Fe 4.233 0.000 0.000
Fe 4.233 0.000 2.813
Si 2.815 3.778 1.407
Si 2.815 -3.778 4.220
Ge 2.815 1.219 1.407
Ge 2.815 -1.219 4.220
CELL_PARAMETERS angstrom
2.815 -4.843 0.000
2.815 4.843 0.000
0.000 0.000 5.626
```

The following is a GGA-PBE calculation of an optimized crystal structure of Cr3Se4, from Alexandria via LeMat-Bulk. Values from VASP.

Output
Energy relative to the elements, uncorrected (kJ/mol of atoms): -44
Fermi-level density of states (states/eV/f.u.): 2.6
Mass density (kg/m3): 5446
E above lowest polymorph (kJ/mol of formula units): 36
Raw total energy (eV for the cell shown): -45.97
Crystal system: monoclinic

Geometry as Quantum ESPRESSO input:
```
&SYSTEM
  ibrav = 0, nat = 7, ntyp = 2
/
ATOMIC_SPECIES
Cr 52.00 Cr.upf
Se 78.96 Se.upf
ATOMIC_POSITIONS angstrom
Cr 0.000 0.000 0.000
Cr 0.000 0.000 3.180
Cr 6.348 0.000 9.067
Se 2.096 0.000 7.795
Se 2.127 0.000 1.521
Se 4.221 0.000 10.726
Se 4.252 0.000 4.452
CELL_PARAMETERS angstrom
3.190 -1.841 0.000
3.190 1.841 0.000
-0.031 0.000 12.247
```

The following is a GGA-PBE calculation of an optimized crystal structure of NbTcB, from Alexandria via LeMat-Bulk. Values from VASP.

Output
Fermi-level density of states (states/eV/f.u.): 1.9
Mass density (kg/m3): 8509
E above lowest polymorph (kJ/mol of formula units): 132
Raw total energy (eV for the cell shown): -27.44
Crystal system: tetragonal
DFT formation energy (eV per atom): -0.1077

Geometry as Quantum ESPRESSO input:
```
&SYSTEM
  ibrav = 0, nat = 3, ntyp = 3
/
ATOMIC_SPECIES
Nb 92.91 Nb.upf
Tc 98.00 Tc.upf
B 10.81 B.upf
ATOMIC_POSITIONS angstrom
Nb 0.000 0.000 0.000
Tc 0.000 0.000 2.521
B 0.000 0.000 6.217
CELL_PARAMETERS angstrom
-1.476 1.476 4.520
1.476 -1.476 4.520
1.476 1.476 -4.520
```

The following is a GGA-PBE calculation of an optimized crystal structure of Tl2InW, from Alexandria via LeMat-Bulk. Values from VASP.

Output
Fermi-level density of states (states/eV/f.u.): 3.1
Mass density (kg/m3): 11198
E above lowest polymorph (kJ/mol of formula units): 4
Raw total energy (eV for the cell shown): -17.91
Crystal system: orthorhombic
DFT formation energy (eV per atom): 0.6273

Geometry as Quantum ESPRESSO input:
```
&SYSTEM
  ibrav = 0, nat = 4, ntyp = 3
/
ATOMIC_SPECIES
Tl 204.38 Tl.upf
In 114.82 In.upf
W 183.84 W.upf
ATOMIC_POSITIONS angstrom
Tl 0.000 0.000 2.628
Tl 0.000 0.000 11.890
In 0.000 2.440 0.000
W 1.481 0.000 0.000
CELL_PARAMETERS angstrom
-1.481 2.440 7.259
1.481 -2.440 7.259
1.481 2.440 -7.259
```

The following is a GGA-PBE calculation of an optimized crystal structure of PmNd6In3, from Alexandria via LeMat-Bulk. Values from VASP.

Output
Fermi-level density of states (states/eV/f.u.): 12.4
Mass density (kg/m3): 6724
E above lowest polymorph (kJ/mol of formula units): 108
Raw total energy (eV for the cell shown): -86.25
Crystal system: orthorhombic
DFT formation energy (eV per atom): -0.1552

Geometry as Quantum ESPRESSO input:
```
&SYSTEM
  ibrav = 0, nat = 20, ntyp = 3
/
ATOMIC_SPECIES
Pm 145.00 Pm.upf
Nd 144.24 Nd.upf
In 114.82 In.upf
ATOMIC_POSITIONS angstrom
Pm 5.381 4.494 3.964
Pm 5.381 -4.494 0.000
Nd 5.381 7.081 1.651
Nd 2.849 2.951 5.582
Nd 2.840 0.528 0.137
Nd 2.840 -0.528 4.101
Nd 5.381 3.055 0.346
Nd 2.849 -2.951 1.619
Nd 7.913 2.951 5.582
Nd 5.381 -3.055 4.309
Nd 7.922 0.528 0.137
Nd 7.922 -0.528 4.101
Nd 7.913 -2.951 1.619
Nd 5.381 -7.081 5.614
In 1.518 2.108 2.727
In 1.518 -2.108 6.691
In 5.381 0.814 5.790
In 5.381 -0.814 1.826
In 9.244 2.108 2.727
In 9.244 -2.108 6.691
CELL_PARAMETERS angstrom
5.381 -7.845 0.000
5.381 7.845 0.000
0.000 0.000 7.927
```

The following is a GGA-PBE calculation of an optimized crystal structure of CaTbOs2O8, from Alexandria via LeMat-Bulk. Values from VASP.

Output
Energy relative to the elements, uncorrected (kJ/mol of atoms): -170
Fermi-level density of states (states/eV/f.u.): 5.2
Mass density (kg/m3): 7485
Raw total energy (eV for the cell shown): -89.87
Crystal system: tetragonal

Geometry as Quantum ESPRESSO input:
```
&SYSTEM
  ibrav = 0, nat = 12, ntyp = 4
/
ATOMIC_SPECIES
Ca 40.08 Ca.upf
Tb 158.93 Tb.upf
Os 190.23 Os.upf
O 16.00 O.upf
ATOMIC_POSITIONS angstrom
Ca 0.000 0.000 0.000
Tb 0.000 2.632 2.831
Os 2.632 0.000 2.831
Os 0.000 0.000 5.663
O 1.713 -1.322 3.744
O 1.775 1.311 -0.958
O 1.310 0.919 1.919
O 1.321 -0.858 6.620
O 0.919 3.955 -1.919
O 0.858 1.321 4.705
O 1.311 3.490 0.958
O 1.322 1.713 7.581
CELL_PARAMETERS angstrom
-2.632 2.632 5.663
2.632 -2.632 5.663
2.632 2.632 -5.663
```

The following is a GGA-PBE calculation of an optimized crystal structure of Si2NiCl, from Alexandria via LeMat-Bulk. Values from VASP.

Output
Energy relative to the elements, uncorrected (kJ/mol of atoms): -2
Fermi-level density of states (states/eV/f.u.): 2.6
Mass density (kg/m3): 3522
E above lowest polymorph (kJ/mol of formula units): 118
Raw total energy (eV for the cell shown): -18.55
Crystal system: trigonal

Geometry as Quantum ESPRESSO input:
```
&SYSTEM
  ibrav = 0, nat = 4, ntyp = 3
/
ATOMIC_SPECIES
Si 28.09 Si.upf
Ni 58.69 Ni.upf
Cl 35.45 Cl.upf
ATOMIC_POSITIONS angstrom
Si 0.000 0.000 3.635
Si 0.000 0.000 13.721
Ni 0.000 0.000 8.678
Cl 0.000 0.000 0.000
CELL_PARAMETERS angstrom
1.880 1.086 5.785
-1.880 1.086 5.785
0.000 -2.171 5.785
```

The following is a GGA-PBE calculation of an optimized crystal structure of CaBPd3, from Alexandria via LeMat-Bulk. Values from VASP.

Output
Fermi-level density of states (states/eV/f.u.): 2.8
Mass density (kg/m3): 6795
Raw total energy (eV for the cell shown): -105.07
Crystal system: cubic
DFT formation energy (eV per atom): -0.4021

Geometry as Quantum ESPRESSO input:
```
&SYSTEM
  ibrav = 0, nat = 20, ntyp = 3
/
ATOMIC_SPECIES
Ca 40.08 Ca.upf
B 10.81 B.upf
Pd 106.42 Pd.upf
ATOMIC_POSITIONS angstrom
Ca 0.000 0.000 0.000
Ca 2.828 2.828 0.000
Ca 2.828 0.000 2.828
Ca 0.000 2.828 2.828
B 5.656 2.828 2.828
B 2.828 5.656 2.828
B 2.828 2.828 5.656
B 5.656 5.656 5.656
Pd 4.242 4.242 2.109
Pd 4.242 2.109 4.242
Pd 6.375 4.242 4.242
Pd 7.070 7.070 4.937
Pd 7.070 4.937 7.070
Pd 9.202 7.070 7.070
Pd 2.109 4.242 4.242
Pd 4.242 6.375 4.242
Pd 4.242 4.242 6.375
Pd 4.937 7.070 7.070
Pd 7.070 9.202 7.070
Pd 7.070 7.070 9.202
CELL_PARAMETERS angstrom
0.000 5.656 5.656
5.656 0.000 5.656
5.656 5.656 0.000
```

Which formula does entry 5 have? PmNd6In3

What is the formula in the third record? NbTcB